Record 1
The following is a PBE-GGA calculation of a relaxed LiPaBiRu crystal, from the Alexandria database.

Computed properties:
- DFT formation energy: -0.172 eV/atom

The structure in CIF format:
```
data_LiPaBiRu
_chemical_formula_sum 'Li4 Pa4 Bi4 Ru4'
_space_group_name_H-M_alt 'F -4 3 m'
_space_group_IT_number 216
_space_group_name_Hall 'F -4 2 3'
_cell_length_a 6.820
_cell_length_b 6.820
_cell_length_c 6.820
_cell_angle_alpha 90.00
_cell_angle_beta 90.00
_cell_angle_gamma 90.00
loop_
_atom_site_label
_atom_site_fract_x
_atom_site_fract_y
_atom_site_fract_z
_atom_site_occupancy
Li1 0.000 0.000 0.000 1
Pa1 0.250 0.250 0.250 1
Bi1 0.250 0.250 0.750 1
Ru1 0.000 0.000 0.500 1
```



Record 2
The following is a PBE-GGA calculation of a relaxed Hg2OsPb crystal, from the Alexandria database.

Computed properties:
- DFT formation energy: 0.851 eV/atom

The structure in CIF format:
```
data_Hg2OsPb
_chemical_formula_sum 'Hg2 Os1 Pb1'
_space_group_name_H-M_alt 'P m m m'
_space_group_IT_number 47
_space_group_name_Hall '-P 2 2'
_cell_length_a 3.130
_cell_length_b 5.071
_cell_length_c 5.445
_cell_angle_alpha 90.00
_cell_angle_beta 90.00
_cell_angle_gamma 90.00
loop_
_atom_site_label
_atom_site_fract_x
_atom_site_fract_y
_atom_site_fract_z
_atom_site_occupancy
Hg1 0.000 0.000 0.000 1
Hg2 0.500 0.500 0.000 1
Os1 0.000 0.500 0.500 1
Pb1 0.500 0.000 0.500 1
```



Record 3
The following is a PBE-GGA calculation of a relaxed SrHfAs2 crystal, from the Alexandria database.

Computed properties:
- Relative energy among the computed polymorphs: 605 meV per atom
- DFT formation energy: -0.510 eV/atom

The structure in CIF format:
```
data_SrHfAs2
_chemical_formula_sum 'Sr4 Hf4 As8'
_space_group_name_H-M_alt 'F m -3 m'
_space_group_IT_number 225
_space_group_name_Hall '-F 4 2 3'
_cell_length_a 7.117
_cell_length_b 7.117
_cell_length_c 7.117
_cell_angle_alpha 90.00
_cell_angle_beta 90.00
_cell_angle_gamma 90.00
loop_
_atom_site_label
_atom_site_fract_x
_atom_site_fract_y
_atom_site_fract_z
_atom_site_occupancy
Sr1 0.000 0.000 0.000 1
Hf1 0.000 0.000 0.500 1
As1 0.250 0.250 0.250 1
```



Record 4
The following is a PBE-GGA calculation of a relaxed BaYZn2 crystal, from the Alexandria database.

Computed properties:
- Relative energy among the computed polymorphs: 128 meV per atom
- DFT formation energy: -0.100 eV/atom

The structure in CIF format:
```
data_BaYZn2
_chemical_formula_sum 'Ba4 Y4 Zn8'
_space_group_name_H-M_alt 'F m -3 m'
_space_group_IT_number 225
_space_group_name_Hall '-F 4 2 3'
_cell_length_a 7.668
_cell_length_b 7.668
_cell_length_c 7.668
_cell_angle_alpha 90.00
_cell_angle_beta 90.00
_cell_angle_gamma 90.00
loop_
_atom_site_label
_atom_site_fract_x
_atom_site_fract_y
_atom_site_fract_z
_atom_site_occupancy
Ba1 0.000 0.000 0.000 1
Y1 0.000 0.000 0.500 1
Zn1 0.250 0.250 0.250 1
```



Record 5
The following is a PBE-GGA calculation of a relaxed CuSi2Te crystal, from the Alexandria database.

Computed properties:
- Energy relative to the elements, uncorrected: 631 meV per atom

The structure in CIF format:
```
data_CuSi2Te
_chemical_formula_sum 'Cu4 Si8 Te4'
_space_group_name_H-M_alt 'F -4 3 m'
_space_group_IT_number 216
_space_group_name_Hall 'F -4 2 3'
_cell_length_a 6.621
_cell_length_b 6.621
_cell_length_c 6.621
_cell_angle_alpha 90.00
_cell_angle_beta 90.00
_cell_angle_gamma 90.00
loop_
_atom_site_label
_atom_site_fract_x
_atom_site_fract_y
_atom_site_fract_z
_atom_site_occupancy
Cu1 0.000 0.000 0.000 1
Si1 0.000 0.000 0.500 1
Si2 0.250 0.250 0.250 1
Te1 0.250 0.250 0.750 1
```



Record 6
The following is a PBE-GGA calculation of a relaxed RbAg2SnSb crystal, from the Alexandria database.

Computed properties:
- Energy relative to the elements, uncorrected: -110 meV per atom

The structure in CIF format:
```
data_RbAg2SnSb
_chemical_formula_sum 'Rb2 Ag4 Sn2 Sb2'
_space_group_name_H-M_alt 'I m m 2'
_space_group_IT_number 44
_space_group_name_Hall 'I 2 -2'
_cell_length_a 4.650
_cell_length_b 4.970
_cell_length_c 12.530
_cell_angle_alpha 90.00
_cell_angle_beta 90.00
_cell_angle_gamma 90.00
loop_
_atom_site_label
_atom_site_fract_x
_atom_site_fract_y
_atom_site_fract_z
_atom_site_occupancy
Rb1 0.000 0.000 0.000 1
Ag1 0.000 0.000 0.619 1
Ag2 0.000 0.500 0.267 1
Sn1 0.000 0.500 0.732 1
Sb1 0.000 0.000 0.385 1
```



Calculated total energy (eV/atom)
-6.3132; -3.0346; -5.7434; -2.8341; -3.8904; -3.0690